Record 1
The following is a GGA-PBE calculation of crystalline TbYSb2O8 at its relaxed geometry, from the Alexandria database.

Unit cell a=5.2705 b=5.2705 c=11.2423 alpha=90.00 beta=90.00 gamma=90.00
Closest atoms and distances in Å follow each position.
Space group I-4 (No. 82)
Inequivalent atoms, fractional coordinates:
Tb (0.0000, 0.0000, 0.0000) (multiplicity 2)  8 O 2.35-2.43
Y (0.0000, 0.5000, 0.7500) (multiplicity 2)  8 O 2.34-2.42
Sb (0.0000, 0.0000, 0.5000) (multiplicity 2)  4 O 1.93
Sb (0.0000, 0.5000, 0.2500) (multiplicity 2)  4 O 1.93
O (0.1817, 0.2535, 0.5892) (multiplicity 8)  1 Sb 1.93
O (0.1822, 0.7536, 0.1610) (multiplicity 8)  1 Sb 1.93

Summary:
Magnetization: 0.0 μB per formula unit
Density: 6.586 Mg/m³
Volume: 312 Å³ per cell
Formation energy (no corrections): -2339 meV/atom

Record 2
The following is a GGA-PBE calculation of crystalline Pr4InAg2Au at its relaxed geometry, from the Alexandria database.

Unit cell a=5.3785 b=5.3785 c=26.3515 alpha=90.00 beta=90.00 gamma=120.00
Closest atoms and distances in Å follow each position.
Space group R-3m (No. 166, hexagonal axes)
Inequivalent atoms, fractional coordinates:
Pr (0.0000, 0.0000, 0.1196) (multiplicity 6)  1 Au 3.15, 4 Ag 3.20-3.23, 3 In 3.34
Pr (0.0000, 0.0000, 0.3709) (multiplicity 6)  3 Au 3.26, 4 Ag 3.39-3.41, 1 In 3.40
In (0.0000, 0.0000, 0.5000) (multiplicity 3)  8 Pr 3.34-3.40, 6 Ag 3.69
Ag (0.0000, 0.0000, 0.2423) (multiplicity 6)  8 Pr 3.20-3.41
Au (0.0000, 0.0000, 0.0000) (multiplicity 3)  8 Pr 3.15-3.26

Summary:
ΔH_f (0 K): -440 meV/atom
Magnetization: 0.0 μB per formula unit
Density: 8.234 Mg/m³
Volume: 660 Å³ per cell

Record 3
The following is a GGA-PBE calculation of crystalline Li2TaReRh at its relaxed geometry, from the Alexandria database.

Unit cell a=4.3103 b=4.3103 c=4.6522 alpha=90.00 beta=90.00 gamma=90.00
Closest atoms and distances in Å follow each position.
Space group P4/mmm (No. 123)
Inequivalent atoms, fractional coordinates:
Li (0.0000, 0.5000, 0.0000) (multiplicity 2)  2 Re 2.16
Ta (0.0000, 0.0000, 0.5000) (multiplicity 1)  4 Rh 3.05, 8 Li 3.17
Re (0.5000, 0.5000, 0.0000) (multiplicity 1)  4 Li 2.16, 2 Rh 2.33
Rh (0.5000, 0.5000, 0.5000) (multiplicity 1)  2 Re 2.33

Summary:
ΔH_f (0 K): 1490 meV/atom
Magnetization: 0.0 μB per formula unit
Density: 9.298 Mg/m³
Volume: 86 Å³ per cell

Record 4
The following is a GGA-PBE calculation of crystalline Ni2Os at its relaxed geometry, from the Alexandria database.

Unit cell a=5.1549 b=3.6427 c=7.7436 alpha=90.00 beta=90.00 gamma=90.00
Closest atoms and distances in Å follow each position.
Space group Pnma (No. 62)
Inequivalent atoms, fractional coordinates:
Ni (0.1185, 0.2500, 0.0867) (multiplicity 4)  7 Ni 2.55-2.61, 5 Os 2.56-2.61
Ni (0.1268, 0.2500, 0.7494) (multiplicity 4)  5 Os 2.52-2.61, 7 Ni 2.55-2.61
Os (0.1228, 0.2500, 0.4237) (multiplicity 4)  2 Os 2.51, 10 Ni 2.52-2.61

Summary:
ΔH_f (0 K): 122 meV/atom
Magnetization: 0.0 μB per formula unit
Density: 14.052 Mg/m³
Volume: 145 Å³ per cell
E above lowest polymorph: 58.0 meV per atom